# CrIn2Co, optimized geometry, DFT PBE
# E_tot: -20.3 eV per formula unit
# E_form: 1.9 eV/f.u.
# Calculated volume: 17.1 Å³/atom
data_CrIn2Co
_chemical_formula_sum 'Cr4 In8 Co4'
_cell_length_a 6.495
_cell_length_b 6.495
_cell_length_c 6.495
_cell_angle_alpha 90.00
_cell_angle_beta 90.00
_cell_angle_gamma 90.00
_symmetry_space_group_name_H-M 'F -4 3 m'
_symmetry_Int_Tables_number 216
_symmetry_space_group_name_Hall 'F -4 2 3'
loop_
_atom_site_label
_atom_site_type_symbol
_atom_site_fract_x
_atom_site_fract_y
_atom_site_fract_z
_atom_site_occupancy
Cr1 Cr 0.000 0.000 0.000 1
In1 In 0.000 0.000 0.500 1
In2 In 0.250 0.250 0.250 1
Co1 Co 0.250 0.250 0.750 1